[1]
{"formula": "Y2TaPt", "functional": "PBE", "state": "relaxed", "density_g_cm3": 9.5, "sg": "I-42d, No. 122", "dft_energy_ev_per_cell": -60.595, "volume_a3_per_atom": 24.110, "e_above_lowest_polymorph_mev_per_atom": 466, "delta_e_f_ev_per_atom": 0.13, "lattice": [[-6.854, 0.580, -4.245], [-2.083, -7.449, 2.346], [-5.836, -2.308, 1.412]], "species": ["Y", "Y", "Y", "Y", "Pt", "Pt", "Ta", "Ta"], "frac_coords": [[0.665, 0.125, 0.250], [0.375, 0.335, 0.750], [0.085, 0.625, 0.250], [0.875, 0.915, 0.750], [0.000, 0.000, 0.000], [0.750, 0.250, 0.500], [0.500, 0.500, 0.000], [0.250, 0.750, 0.500]]}

***

[2]
{"formula": "YTaPt", "functional": "PBE", "state": "relaxed", "density_g_cm3": 12.1, "sg": "P3m1, No. 156", "dft_energy_ev_per_cell": -24.687, "volume_a3_per_atom": 21.186, "e_above_lowest_polymorph_mev_per_atom": 328, "delta_e_f_ev_per_atom": -0.11, "lattice": [[3.270, 0.000, 0.000], [-1.635, 2.832, 0.000], [0.000, 0.000, 6.865]], "species": ["Pt", "Y", "Ta"], "frac_coords": [[0.000, 0.000, 0.026], [0.333, 0.667, 0.672], [0.667, 0.333, 0.302]]}